No. 1
A plane-wave DFT calculation with PBE-GGA was carried out for a geometry-optimized Nd2Cd2Pb structure.

a = 5.8433 Å, b = 5.8433 Å, c = 6.2917 Å
α = 95.09°, β = 95.09°, γ = 46.44°
Element x y z (fractional)
Nd: 0.2019 0.2019 0.2165
Nd: 0.7981 0.7981 0.7835
Cd: 0.0913 0.0913 0.6856
Cd: 0.9087 0.9087 0.3144
Pb: 0.5000 0.5000 0.0000

Summary:
- Energy relative to the elements: -0.233 eV/atom
- Space group: No. 12
- Magnetization: 0.0 Bohr magnetons per cell
- Uncorrected energy: -3.248 eV per atom

No. 2
A plane-wave DFT calculation with PBE-GGA was carried out for a geometry-optimized Tl3Ga12Se5 structure.

a = 14.2603 Å, b = 14.2603 Å, c = 14.2603 Å
α = 109.47°, β = 109.47°, γ = 109.47°
Element x y z (fractional)
Tl: 0.1250 0.2500 0.3750
Tl: 0.1250 0.3750 0.7500
Tl: 0.2500 0.3750 0.1250
Tl: 0.2500 0.8750 0.6250
Tl: 0.3750 0.1250 0.2500
Tl: 0.3750 0.7500 0.1250
Tl: 0.6250 0.2500 0.8750
Tl: 0.6250 0.8750 0.7500
Tl: 0.7500 0.1250 0.3750
Tl: 0.7500 0.6250 0.8750
Tl: 0.8750 0.6250 0.2500
Tl: 0.8750 0.7500 0.6250
Ga: 0.0560 0.2262 0.1438
Ga: 0.0560 0.3298 0.9121
Ga: 0.0823 0.7262 0.6702
Ga: 0.0823 0.8562 0.4121
Ga: 0.0879 0.6438 0.4177
Ga: 0.0879 0.9440 0.6702
Ga: 0.1438 0.0560 0.2262
Ga: 0.1438 0.5879 0.9177
Ga: 0.1702 0.2262 0.5823
Ga: 0.1702 0.4440 0.5879
Ga: 0.2262 0.1438 0.0560
Ga: 0.2262 0.5823 0.1702
Ga: 0.2738 0.3298 0.9177
Ga: 0.2738 0.4440 0.3562
Ga: 0.3298 0.9121 0.0560
Ga: 0.3298 0.9177 0.2738
Ga: 0.3562 0.2738 0.4440
Ga: 0.3562 0.5823 0.9121
Ga: 0.4121 0.0823 0.8562
Ga: 0.4121 0.8298 0.5560
Ga: 0.4177 0.0879 0.6438
Ga: 0.4177 0.8298 0.7738
Ga: 0.4440 0.3562 0.2738
Ga: 0.4440 0.5879 0.1702
Ga: 0.5560 0.4121 0.8298
Ga: 0.5560 0.6438 0.7262
Ga: 0.5823 0.1702 0.2262
Ga: 0.5823 0.9121 0.3562
Ga: 0.5879 0.1702 0.4440
Ga: 0.5879 0.9177 0.1438
Ga: 0.6438 0.4177 0.0879
Ga: 0.6438 0.7262 0.5560
Ga: 0.6702 0.0823 0.7262
Ga: 0.6702 0.0879 0.9440
Ga: 0.7262 0.5560 0.6438
Ga: 0.7262 0.6702 0.0823
Ga: 0.7738 0.4177 0.8298
Ga: 0.7738 0.8562 0.9440
Ga: 0.8298 0.5560 0.4121
Ga: 0.8298 0.7738 0.4177
Ga: 0.8562 0.4121 0.0823
Ga: 0.8562 0.9440 0.7738
Ga: 0.9121 0.0560 0.3298
Ga: 0.9121 0.3562 0.5823
Ga: 0.9177 0.1438 0.5879
Ga: 0.9177 0.2738 0.3298
Ga: 0.9440 0.6702 0.0879
Ga: 0.9440 0.7738 0.8562
Se: 0.0000 0.0000 0.0000
Se: 0.0000 0.0000 0.5000
Se: 0.0000 0.5000 0.0000
Se: 0.0000 0.5000 0.5000
Se: 0.1250 0.7500 0.8750
Se: 0.1250 0.8750 0.2500
Se: 0.2500 0.1250 0.8750
Se: 0.2500 0.6250 0.3750
Se: 0.3750 0.2500 0.6250
Se: 0.3750 0.6250 0.7500
Se: 0.5000 0.0000 0.0000
Se: 0.5000 0.0000 0.5000
Se: 0.5000 0.5000 0.0000
Se: 0.5000 0.5000 0.5000
Se: 0.6250 0.3750 0.2500
Se: 0.6250 0.7500 0.3750
Se: 0.7500 0.3750 0.6250
Se: 0.7500 0.8750 0.1250
Se: 0.8750 0.1250 0.7500
Se: 0.8750 0.2500 0.1250

Summary:
- Space group: No. 230
- Magnetization: 0.0 Bohr magnetons per cell
- Uncorrected energy: -3.043 eV per atom
- Formation energy without anion corrections: -1 meV per atom

No. 3
A plane-wave DFT calculation with PBE-GGA was carried out for a geometry-optimized MgZr2Te structure.

a = 5.6207 Å, b = 5.6207 Å, c = 4.8906 Å
α = 115.70°, β = 115.70°, γ = 40.48°
Element x y z (fractional)
Mg: 0.0000 0.0000 0.0000
Zr: 0.2492 0.2492 0.7490
Zr: 0.7508 0.7508 0.2510
Te: 0.5000 0.5000 0.5000

Summary:
- Space group: No. 12
- Magnetization: 0.0 Bohr magnetons per cell
- Uncorrected energy: -5.722 eV per atom
- Formation energy without anion corrections: -264 meV per atom

Copy entry 2 word for word.
A plane-wave DFT calculation with PBE-GGA was carried out for a geometry-optimized Tl3Ga12Se5 structure.

a = 14.2603 Å, b = 14.2603 Å, c = 14.2603 Å
α = 109.47°, β = 109.47°, γ = 109.47°
Element x y z (fractional)
Tl: 0.1250 0.2500 0.3750
Tl: 0.1250 0.3750 0.7500
Tl: 0.2500 0.3750 0.1250
Tl: 0.2500 0.8750 0.6250
Tl: 0.3750 0.1250 0.2500
Tl: 0.3750 0.7500 0.1250
Tl: 0.6250 0.2500 0.8750
Tl: 0.6250 0.8750 0.7500
Tl: 0.7500 0.1250 0.3750
Tl: 0.7500 0.6250 0.8750
Tl: 0.8750 0.6250 0.2500
Tl: 0.8750 0.7500 0.6250
Ga: 0.0560 0.2262 0.1438
Ga: 0.0560 0.3298 0.9121
Ga: 0.0823 0.7262 0.6702
Ga: 0.0823 0.8562 0.4121
Ga: 0.0879 0.6438 0.4177
Ga: 0.0879 0.9440 0.6702
Ga: 0.1438 0.0560 0.2262
Ga: 0.1438 0.5879 0.9177
Ga: 0.1702 0.2262 0.5823
Ga: 0.1702 0.4440 0.5879
Ga: 0.2262 0.1438 0.0560
Ga: 0.2262 0.5823 0.1702
Ga: 0.2738 0.3298 0.9177
Ga: 0.2738 0.4440 0.3562
Ga: 0.3298 0.9121 0.0560
Ga: 0.3298 0.9177 0.2738
Ga: 0.3562 0.2738 0.4440
Ga: 0.3562 0.5823 0.9121
Ga: 0.4121 0.0823 0.8562
Ga: 0.4121 0.8298 0.5560
Ga: 0.4177 0.0879 0.6438
Ga: 0.4177 0.8298 0.7738
Ga: 0.4440 0.3562 0.2738
Ga: 0.4440 0.5879 0.1702
Ga: 0.5560 0.4121 0.8298
Ga: 0.5560 0.6438 0.7262
Ga: 0.5823 0.1702 0.2262
Ga: 0.5823 0.9121 0.3562
Ga: 0.5879 0.1702 0.4440
Ga: 0.5879 0.9177 0.1438
Ga: 0.6438 0.4177 0.0879
Ga: 0.6438 0.7262 0.5560
Ga: 0.6702 0.0823 0.7262
Ga: 0.6702 0.0879 0.9440
Ga: 0.7262 0.5560 0.6438
Ga: 0.7262 0.6702 0.0823
Ga: 0.7738 0.4177 0.8298
Ga: 0.7738 0.8562 0.9440
Ga: 0.8298 0.5560 0.4121
Ga: 0.8298 0.7738 0.4177
Ga: 0.8562 0.4121 0.0823
Ga: 0.8562 0.9440 0.7738
Ga: 0.9121 0.0560 0.3298
Ga: 0.9121 0.3562 0.5823
Ga: 0.9177 0.1438 0.5879
Ga: 0.9177 0.2738 0.3298
Ga: 0.9440 0.6702 0.0879
Ga: 0.9440 0.7738 0.8562
Se: 0.0000 0.0000 0.0000
Se: 0.0000 0.0000 0.5000
Se: 0.0000 0.5000 0.0000
Se: 0.0000 0.5000 0.5000
Se: 0.1250 0.7500 0.8750
Se: 0.1250 0.8750 0.2500
Se: 0.2500 0.1250 0.8750
Se: 0.2500 0.6250 0.3750
Se: 0.3750 0.2500 0.6250
Se: 0.3750 0.6250 0.7500
Se: 0.5000 0.0000 0.0000
Se: 0.5000 0.0000 0.5000
Se: 0.5000 0.5000 0.0000
Se: 0.5000 0.5000 0.5000
Se: 0.6250 0.3750 0.2500
Se: 0.6250 0.7500 0.3750
Se: 0.7500 0.3750 0.6250
Se: 0.7500 0.8750 0.1250
Se: 0.8750 0.1250 0.7500
Se: 0.8750 0.2500 0.1250

Summary:
- Space group: No. 230
- Magnetization: 0.0 Bohr magnetons per cell
- Uncorrected energy: -3.043 eV per atom
- Formation energy without anion corrections: -1 meV per atom